A crystal of AsPb2 relaxed with PBEsol, computed with meta-GGA SCAN.

The space group is P-3m1 (No. 164) and the conventional cell measures 4.0705, 4.0705 and 5.9006 Å, with angles of 90.00, 90.00 and 120.00 degrees. The distinct sites, in fractional coordinates, are As at (0.0000, 0.0000, 0.0000) and Pb at (0.3333, 0.6667, 0.2911).

Its density is 9.60 Mg/m³. Its total magnetization is 0.0 μB per cell. Its formation energy from the elements is 0.022 eV per atom. Its polymorph energy (0 for the lowest one) is 0.000 eV/atom. The calculation puts the density of states at the Fermi level at 1.5 states/eV per cell.